# 1
The following is a PBE calculation of a relaxed structure of Na2PtS2, from the Open Quantum Materials Database.

Structure (POSCAR):
```
Na2PtS2
1.0
-1.7772 3.3378 4.2759
1.7772 -3.3378 4.2759
1.7772 3.3378 -4.2759
Na Pt S
2 1 2
direct
0.6999 0.1999 0.5000
0.3001 0.8001 0.5000
0.0000 0.0000 0.0000
0.7657 0.5000 0.2657
0.2343 0.5000 0.7343
```

Results
**Final energy**: -4.24 eV/atom



# 2
The following is a PBE calculation of a relaxed structure of YErB4, from the Open Quantum Materials Database.

Structure (POSCAR):
```
YErB4
1.0
-3.1799 0.5100 -0.6432
1.0162 -0.3201 3.1065
1.1291 7.5559 0.4091
B Er Y
4 1 1
direct
0.6667 0.3333 0.2534
0.3333 0.6667 0.2534
0.6667 0.3333 0.7466
0.3333 0.6667 0.7466
0.0000 0.0000 0.5000
0.0000 0.0000 0.0000
```

Results
**Final energy**: -6.88 eV/atom



# 3
The following is a PBE calculation of a relaxed structure of NdCu, from the Open Quantum Materials Database.

Structure (POSCAR):
```
NdCu
1.0
-0.8930 -3.2578 -2.9722
-3.6653 -2.5607 0.5024
-3.4572 0.4373 -2.8462
Cu Nd
1 1
direct
0.0000 0.0000 0.0000
0.2500 0.2500 0.2500
```

Results
**Final energy**: -3.73 eV/atom
**DFT formation energy**: 0.5091 eV/atom



# 4
The following is a PBE calculation of a relaxed structure of Ho3TmPb2C2, from the Open Quantum Materials Database.

Structure (POSCAR):
```
Ho3TmPb2C2
1.0
-2.7632 -1.2491 1.9630
0.7808 -1.5117 -3.1865
9.8359 -10.2955 7.2943
C Ho Pb Tm
2 3 2 1
direct
0.3333 0.6667 0.5001
0.3333 0.6667 0.9991
0.6667 0.3333 0.0820
0.6667 0.3333 0.4173
0.0000 0.0000 0.5826
0.0000 0.0000 0.2499
0.6667 0.3333 0.7507
0.0000 0.0000 0.9182
```

Results
**Final energy**: -6.03 eV/atom



# 5
The following is a PBE calculation of a relaxed structure of Ho3HfPb2C2, from the Open Quantum Materials Database.

Structure (POSCAR):
```
Ho3HfPb2C2
1.0
-0.1978 2.8551 -2.0787
-2.7386 -2.2289 0.2086
-5.8660 8.3300 11.9994
C Hf Ho Pb
2 1 3 2
direct
0.0000 0.0000 0.0135
0.0000 0.0000 0.4963
0.3333 0.6667 0.0817
0.3333 0.6667 0.4122
0.6667 0.3333 0.5813
0.6667 0.3333 0.9219
0.6667 0.3333 0.2400
0.3333 0.6667 0.7531
```

Results
**Final energy**: -6.74 eV/atom



# 6
The following is a PBE calculation of a relaxed structure of CdPtSO, from the Open Quantum Materials Database.

Structure (POSCAR):
```
CdPtSO
1.0
-6.1431 3.2084 1.6685
-3.9642 -7.8561 0.5113
2.0231 -0.4764 8.3649
Cd O Pt S
8 8 8 8
direct
0.7392 0.0722 0.0215
0.7608 0.5722 0.0215
0.2392 0.0722 0.4785
0.2608 0.5722 0.4785
0.7392 0.4278 0.5215
0.7608 0.9278 0.5215
0.2392 0.4278 0.9785
0.2608 0.9278 0.9785
0.7603 0.3154 0.1244
0.7397 0.8154 0.1244
0.2603 0.3154 0.3756
0.2397 0.8154 0.3756
0.7603 0.1846 0.6244
0.7397 0.6846 0.6244
0.2603 0.1846 0.8756
0.2397 0.6846 0.8756
0.0154 0.3175 0.2393
0.4846 0.8175 0.2393
0.5154 0.3175 0.2607
0.9846 0.8175 0.2607
0.0154 0.1825 0.7393
0.4846 0.6825 0.7393
0.5154 0.1825 0.7607
0.9846 0.6825 0.7607
0.0774 0.0630 0.1987
0.4226 0.5630 0.1987
0.5774 0.0630 0.3013
0.9226 0.5630 0.3013
0.0774 0.4370 0.6987
0.4226 0.9370 0.6987
0.5774 0.4370 0.8013
0.9226 0.9370 0.8013
```

Results
**Energy relative to the lowest polymorph listed for this composition**: 16.0 meV/atom
**Final energy**: -4.43 eV/atom



# 7
The following is a PBE calculation of a relaxed structure of LiFeSiSb, from the Open Quantum Materials Database.

Structure (POSCAR):
```
LiFeSiSb
1.0
0.0000 3.0436 3.0436
3.0436 0.0000 3.0436
3.0436 3.0436 0.0000
Fe Li Sb Si
1 1 1 1
direct
0.2500 0.2500 0.2500
0.7500 0.7500 0.7500
0.0000 0.0000 0.0000
0.5000 0.5000 0.5000
```

Results
**Energy relative to the lowest polymorph listed for this composition**: 0.0 meV/atom
**Final energy**: -4.91 eV/atom



# 8
The following is a PBE calculation of a relaxed structure of MgAg, from the Open Quantum Materials Database.

Structure (POSCAR):
```
MgAg
1.0
10.3117 0.0000 0.0000
0.0000 5.9538 0.0000
0.0000 0.0000 4.8243
Ag Mg
8 8
direct
0.7511 0.2557 0.0000
0.0030 0.5000 0.0000
0.4929 0.5000 0.0000
0.7511 0.7443 0.0000
0.1738 0.0000 0.5000
0.6637 0.0000 0.5000
0.9155 0.2443 0.5000
0.9155 0.7557 0.5000
0.5231 0.0000 0.0000
0.9870 0.0000 0.0000
0.2472 0.2486 0.0000
0.2472 0.7514 0.0000
0.4195 0.2514 0.5000
0.1436 0.5000 0.5000
0.6796 0.5000 0.5000
0.4195 0.7486 0.5000
```

Results
**Final energy**: -2.34 eV/atom



# 9
The following is a PBE calculation of a relaxed structure of LuAgSeO, from the Open Quantum Materials Database.

Structure (POSCAR):
```
LuAgSeO
1.0
-1.3678 -2.5056 -3.1686
6.4428 -1.0183 -1.9760
0.3685 -4.9390 3.7466
Ag Lu O Se
2 2 2 2
direct
0.0000 0.2736 0.1029
0.0000 0.7264 0.6029
0.5000 0.8521 0.0174
0.5000 0.1479 0.5174
0.5000 0.1079 0.1898
0.5000 0.8921 0.6898
0.0000 0.6592 0.1809
0.0000 0.3408 0.6809
```

Results
**Final energy**: -5.56 eV/atom



# 10
The following is a PBE calculation of a relaxed structure of InCu3Te4Mo, from the Open Quantum Materials Database.

Structure (POSCAR):
```
InCu3Te4Mo
1.0
-2.0365 -5.5915 2.3677
5.7598 -2.5695 -1.1139
1.9224 1.7751 5.8456
Cu In Mo Te
3 1 1 4
direct
0.5000 0.5000 0.0000
0.5000 0.0000 0.5000
0.0000 0.5000 0.5000
0.0000 0.0000 0.0000
0.5000 0.5000 0.5000
0.2656 0.2656 0.2656
0.7344 0.7344 0.2656
0.7344 0.2656 0.7344
0.2656 0.7344 0.7344
```

Results
**Final energy**: -4.03 eV/atom



# 11
The following is a PBE calculation of a relaxed structure of Mg4Ir3, from the Open Quantum Materials Database.

Structure (POSCAR):
```
Mg4Ir3
1.0
4.8787 5.6333 0.0000
-2.4392 7.0415 0.0000
0.0000 0.0000 4.6640
Ir Mg
6 8
direct
0.7176 0.4152 0.0000
0.2723 0.5816 0.0000
0.4387 0.8604 0.0000
0.5137 0.3777 0.5000
0.6801 0.6565 0.5000
0.2348 0.8229 0.5000
0.5527 0.1737 0.0000
0.1428 0.2857 0.0000
0.8451 0.6955 0.0000
0.0308 0.9879 0.0000
0.3997 0.0644 0.5000
0.9215 0.2502 0.5000
0.1073 0.5425 0.5000
0.8095 0.9524 0.5000
```

Results
**Final energy**: -4.84 eV/atom



# 12
The following is a PBE calculation of a relaxed structure of TbDyHg, from the Open Quantum Materials Database.

Structure (POSCAR):
```
TbDyHg
1.0
-5.6657 -2.1129 3.6679
-2.4999 -0.8694 -4.3624
3.1715 -8.6624 -0.0911
Dy Hg Tb
4 4 4
direct
0.3306 0.2500 0.0755
0.8306 0.2500 0.4245
0.1694 0.7500 0.5755
0.6694 0.7500 0.9245
0.7614 0.2500 0.1008
0.2614 0.2500 0.3992
0.7386 0.7500 0.6008
0.2386 0.7500 0.8992
0.0150 0.7500 0.1940
0.5150 0.7500 0.3060
0.4850 0.2500 0.6940
0.9850 0.2500 0.8060
```

Results
**Energy relative to the lowest polymorph listed for this composition**: 0.0 meV/atom
**Final energy**: -3.54 eV/atom
**DFT formation energy**: -0.3608 eV/atom